PBE Li5Pd6Pb, relaxed; DFT total energy = -49.59 eV per cell; E_form = -498 kJ/mol of formula units
1.0
2.187 -6.504 0.000
2.187 6.504 0.000
-0.006 0.000 6.175
Li Pd Pb
5 6 1
direct
0.000 0.000 0.000
0.330 0.670 0.500
0.336 0.664 0.000
0.664 0.336 0.000
0.670 0.330 0.500
0.172 0.828 0.237
0.172 0.828 0.763
0.500 0.500 0.232
0.500 0.500 0.768
0.828 0.172 0.237
0.828 0.172 0.763
0.000 0.000 0.500


PBE NaZn2S2, relaxed; DFT total energy = -14.27 eV per cell
1.0
-2.363 2.363 4.340
2.363 -2.363 4.340
2.363 2.363 -4.340
Na Zn S
1 2 2
direct
0.000 0.000 0.000
0.352 0.352 0.000
0.648 0.648 0.000
0.250 0.750 0.500
0.750 0.250 0.500